Computed, not measured: KBe2Si after structural relaxation at the PBE level of DFT.

The calculation puts the magnetic moment at 0.00 μB/atom. As for the uncorrected formation energy: 2.01 eV/f.u.

It has space group Cm (No. 8), with a = 8.0376 Å, b = 2.6052 Å, c = 6.9579 Å, α = 90.00°, β = 96.49° and γ = 90.00°. Symmetry generates all atoms from K at (0.0000, 0.0000, 0.0000), Be at (0.0091, 0.5000, 0.4874), Be at (0.2951, 0.5000, 0.3706) and Si at (0.2284, 0.0000, 0.6377).



Computed, not measured: KBe2Si after structural relaxation at the PBE level of DFT.

The calculation puts the magnetic moment at 0.00 μB/atom. As for the uncorrected formation energy: 2.96 eV/f.u.

It has space group Imm2 (No. 44), with a = 2.5418 Å, b = 5.9362 Å, c = 10.0118 Å, α = 90.00°, β = 90.00° and γ = 90.00°. Symmetry generates all atoms from K at (0.0000, 0.0000, 0.0000), Be at (0.0000, 0.0000, 0.5031), Be at (0.0000, 0.5000, 0.8257) and Si at (0.0000, 0.5000, 0.1961).



Computed, not measured: KBe2Si after structural relaxation at the PBE level of DFT.

The calculation puts the magnetic moment at 0.00 μB/atom. As for the uncorrected formation energy: 3.87 eV/f.u.

It has space group R-3m (No. 166, hexagonal axes), with a = 2.7944 Å, b = 2.7944 Å, c = 28.1815 Å, α = 90.00°, β = 90.00° and γ = 120.00°. Symmetry generates all atoms from K at (0.0000, 0.0000, 0.0000), Be at (0.0000, 0.0000, 0.2321) and Si at (0.0000, 0.0000, 0.5000).



Computed, not measured: K2BeSiSn after structural relaxation at the PBE level of DFT.

The calculation puts the magnetic moment at 0.00 μB/atom. As for the uncorrected formation energy: 1.95 eV/f.u.

It has space group P4/mmm (No. 123), with a = 6.2643 Å, b = 6.2643 Å, c = 4.0962 Å, α = 90.00°, β = 90.00° and γ = 90.00°. Symmetry generates all atoms from K at (0.0000, 0.5000, 0.0000), Be at (0.0000, 0.0000, 0.0000), Si at (0.0000, 0.0000, 0.5000) and Sn at (0.5000, 0.5000, 0.5000).